(1)
# La2TlCdRh

An optimized crystal structure of La2TlCdRh (PBE, the Alexandria database).

a b c (Å): 8.4852 4.1259 8.5345
angles (deg): 90.00 110.70 90.00
Sites, in units of the cell vectors:
La 0.0058 0.2500 0.2167
La 0.3370 0.7500 0.6046
La 0.6630 0.2500 0.3954
La 0.9942 0.7500 0.7833
Tl 0.3168 0.7500 0.1938
Tl 0.6832 0.2500 0.8062
Cd 0.3527 0.2500 0.9374
Cd 0.6473 0.7500 0.0626
Rh 0.1062 0.2500 0.6161
Rh 0.8938 0.7500 0.3839

Relative energy among the computed polymorphs: 0.0 meV/atom

(2)
# LaTlCdRh2

An optimized crystal structure of LaTlCdRh2 (PBE, the Alexandria database).

a b c (Å): 5.0523 5.0523 5.7850
angles (deg): 90.00 90.00 90.00
Sites, in units of the cell vectors:
La 0.0000 0.0000 0.0000
Tl 0.0000 0.0000 0.5000
Cd 0.5000 0.5000 0.0000
Rh 0.0000 0.5000 0.5000
Rh 0.5000 0.0000 0.5000

(3)
# La2TlCdRh

An optimized crystal structure of La2TlCdRh (PBE, the Alexandria database).

a b c (Å): 5.4255 5.4255 5.2736
angles (deg): 90.00 90.00 90.00
Sites, in units of the cell vectors:
La 0.0000 0.5000 0.0000
La 0.5000 0.0000 0.0000
Tl 0.0000 0.0000 0.5000
Cd 0.5000 0.5000 0.5000
Rh 0.5000 0.5000 0.0000

Relative energy among the computed polymorphs: 124.4 meV/atom

(4)
# LaTlCd2Rh

An optimized crystal structure of LaTlCd2Rh (PBE, the Alexandria database).

a b c (Å): 5.3183 5.3183 5.1843
angles (deg): 90.00 90.00 90.00
Sites, in units of the cell vectors:
La 0.0000 0.0000 0.0000
Tl 0.5000 0.5000 0.0000
Cd 0.0000 0.5000 0.5000
Cd 0.5000 0.0000 0.5000
Rh 0.0000 0.0000 0.5000

Relative energy among the computed polymorphs: 0.0 meV/atom

(5)
# LaVCd2Rh

An optimized crystal structure of LaVCd2Rh (PBE, the Alexandria database).

a b c (Å): 5.2009 5.2009 4.5003
angles (deg): 90.00 90.00 90.00
Sites, in units of the cell vectors:
La 0.0000 0.0000 0.0000
V 0.5000 0.5000 0.5000
Cd 0.0000 0.5000 0.5000
Cd 0.5000 0.0000 0.5000
Rh 0.5000 0.5000 0.0000

(6)
# La2Zn2CdRh5

An optimized crystal structure of La2Zn2CdRh5 (PBE, the Alexandria database).

a b c (Å): 9.8478 9.8478 3.7630
angles (deg): 90.00 90.00 90.00
Sites, in units of the cell vectors:
La 0.1779 0.3221 0.0000
La 0.3221 0.8221 0.0000
La 0.6779 0.1779 0.0000
La 0.8221 0.6779 0.0000
Zn 0.1196 0.6196 0.0000
Zn 0.3804 0.1196 0.0000
Zn 0.6196 0.8804 0.0000
Zn 0.8804 0.3804 0.0000
Cd 0.0000 0.0000 0.0000
Cd 0.5000 0.5000 0.0000
Rh 0.0000 0.5000 0.5000
Rh 0.0693 0.7901 0.5000
Rh 0.2099 0.0693 0.5000
Rh 0.2901 0.5693 0.5000
Rh 0.4307 0.2901 0.5000
Rh 0.5000 0.0000 0.5000
Rh 0.5693 0.7099 0.5000
Rh 0.7099 0.4307 0.5000
Rh 0.7901 0.9307 0.5000
Rh 0.9307 0.2099 0.5000

(7)
# La2ZnCdRh

An optimized crystal structure of La2ZnCdRh (PBE, the Alexandria database).

a b c (Å): 5.4576 5.4576 4.9450
angles (deg): 90.00 90.00 90.00
Sites, in units of the cell vectors:
La 0.0000 0.5000 0.0000
La 0.5000 0.0000 0.0000
Zn 0.0000 0.0000 0.5000
Cd 0.5000 0.5000 0.5000
Rh 0.0000 0.0000 0.0000

Relative energy among the computed polymorphs: 103.9 meV/atom

(8)
# La2ZnCdRh

An optimized crystal structure of La2ZnCdRh (PBE, the Alexandria database).

a b c (Å): 7.4153 4.5376 8.0356
angles (deg): 90.00 107.55 90.00
Sites, in units of the cell vectors:
La 0.1370 0.2500 0.3410
La 0.2725 0.2500 0.9461
La 0.7275 0.7500 0.0539
La 0.8630 0.7500 0.6590
Zn 0.4478 0.7500 0.3221
Zn 0.5522 0.2500 0.6779
Cd 0.3361 0.7500 0.6500
Cd 0.6639 0.2500 0.3500
Rh 0.1252 0.7500 0.0889
Rh 0.8748 0.2500 0.9111

Relative energy among the computed polymorphs: 0.0 meV/atom

(9)
# LaCd2Ru

An optimized crystal structure of LaCd2Ru (PBE, the Alexandria database).

a b c (Å): 5.5446 8.9645 3.6638
angles (deg): 90.00 90.00 90.00
Sites, in units of the cell vectors:
La 0.0000 0.0000 0.0000
La 0.5000 0.5000 0.0000
Cd 0.2500 0.2500 0.5000
Cd 0.2500 0.7500 0.5000
Cd 0.7500 0.2500 0.5000
Cd 0.7500 0.7500 0.5000
Ru 0.0000 0.5000 0.0000
Ru 0.5000 0.0000 0.0000

(10)
# LaCd4Ru

An optimized crystal structure of LaCd4Ru (PBE, the Alexandria database).

a b c (Å): 5.7152 5.7152 5.7152
angles (deg): 60.00 60.00 60.00
Sites, in units of the cell vectors:
La 0.0000 0.0000 0.0000
Cd 0.3762 0.3762 0.3762
Cd 0.3762 0.3762 0.8714
Cd 0.3762 0.8714 0.3762
Cd 0.8714 0.3762 0.3762
Ru 0.7500 0.7500 0.7500

(11)
# La6Cd2Ru

An optimized crystal structure of La6Cd2Ru (PBE, the Alexandria database).

a b c (Å): 3.9120 9.1609 9.1609
angles (deg): 121.22 90.00 90.00
Sites, in units of the cell vectors:
La 0.0000 0.0000 0.0000
La 0.0000 0.2182 0.4597
La 0.0000 0.4597 0.2182
La 0.5000 0.2155 0.8216
La 0.5000 0.6316 0.6316
La 0.5000 0.8216 0.2155
Cd 0.0000 0.5522 0.8842
Cd 0.0000 0.8842 0.5522
Ru 0.5000 0.2683 0.2683

Relative energy among the computed polymorphs: 0.0 meV/atom

(12)
# LaCd2Ru

An optimized crystal structure of LaCd2Ru (PBE, the Alexandria database).

a b c (Å): 4.1215 4.1215 5.2794
angles (deg): 90.00 90.00 90.00
Sites, in units of the cell vectors:
La 0.0000 0.0000 0.0000
Cd 0.0000 0.5000 0.5000
Cd 0.5000 0.0000 0.5000
Ru 0.5000 0.5000 0.0000

How do the records compare in final energy? In the order shown, they have -4.6429; -3.7484; -4.5185; -3.5429; -4.4408; -5.5038; -4.2671; -4.3711; -3.8703; -2.9411; -4.7654; -4.0238 eV/atom.